Arrangement A

First-principles (PBE-GGA) data for a relaxed InAs2BrCl crystal, as listed in Alexandria.

* SG: P4/mmm, No. 123
* V: 155.6 Å³/f.u.

The structure in POSCAR format:
```
InAs2BrCl
1.0
5.383 0.000 0.000
0.000 5.383 0.000
0.000 0.000 5.370
In As Br Cl
1 2 1 1
Direct
0.000 0.000 0.000
0.000 0.500 0.000
0.500 0.000 0.000
0.000 0.000 0.500
0.500 0.500 0.500
```

***

Arrangement B

First-principles (PBE-GGA) data for a relaxed InAs2BrCl crystal, as listed in Alexandria.

* SG: P4/mmm, No. 123
* V: 161.1 Å³/f.u.

The structure in POSCAR format:
```
InAs2BrCl
1.0
4.794 0.000 0.000
0.000 4.794 0.000
0.000 0.000 7.011
In As Br Cl
1 2 1 1
Direct
0.000 0.000 0.000
0.000 0.500 0.500
0.500 0.000 0.500
0.500 0.500 0.000
0.500 0.500 0.500
```

***

Energy ordering: arrangement B at the bottom, the next structure 29 meV/atom above.

***

Arrangement A

First-principles (PBE-GGA) data for a relaxed InAsBr2Cl crystal, as listed in Alexandria.

* SG: P4/mmm, No. 123
* V: 186.8 Å³/f.u.

The structure in POSCAR format:
```
InAsBr2Cl
1.0
6.405 0.000 0.000
0.000 6.405 0.000
0.000 0.000 4.552
In As Br Cl
1 1 2 1
Direct
0.000 0.000 0.000
0.500 0.500 0.000
0.000 0.500 0.500
0.500 0.000 0.500
0.500 0.500 0.500
```

***

Arrangement B

First-principles (PBE-GGA) data for a relaxed InAsBr2Cl crystal, as listed in Alexandria.

* SG: P4/mmm, No. 123
* V: 161.1 Å³/f.u.

The structure in POSCAR format:
```
InAsBr2Cl
1.0
5.284 0.000 0.000
0.000 5.284 0.000
0.000 0.000 5.772
In As Br Cl
1 1 2 1
Direct
0.000 0.000 0.000
0.000 0.000 0.500
0.000 0.500 0.000
0.500 0.000 0.000
0.500 0.500 0.500
```

***

Energy ordering: arrangement B at the bottom, the next structure 129 meV/atom above.

***

Arrangement A

First-principles (PBE-GGA) data for a relaxed AsIrBr2Cl crystal, as listed in Alexandria.

* SG: P4/mmm, No. 123
* V: 126.3 Å³/f.u.

The structure in POSCAR format:
```
AsIrBr2Cl
1.0
5.179 0.000 0.000
0.000 5.179 0.000
0.000 0.000 4.709
As Ir Br Cl
1 1 2 1
Direct
0.000 0.000 0.000
0.000 0.000 0.500
0.000 0.500 0.500
0.500 0.000 0.500
0.500 0.500 0.000
```

***

Arrangement B

First-principles (PBE-GGA) data for a relaxed AsIrBr2Cl crystal, as listed in Alexandria.

* SG: P4/mmm, No. 123
* V: 130.4 Å³/f.u.

The structure in POSCAR format:
```
AsIrBr2Cl
1.0
4.996 0.000 0.000
0.000 4.996 0.000
0.000 0.000 5.222
As Ir Br Cl
1 1 2 1
Direct
0.000 0.000 0.000
0.500 0.500 0.000
0.000 0.500 0.500
0.500 0.000 0.500
0.000 0.000 0.500
```

***

Energy ordering: arrangement A at the bottom, the next structure 1275 meV/atom above.

***

Arrangement A

First-principles (PBE-GGA) data for a relaxed KAs2BrCl crystal, as listed in Alexandria.

* SG: P4/mmm, No. 123
* V: 294.5 Å³/f.u.

The structure in POSCAR format:
```
KAs2BrCl
1.0
7.067 0.000 0.000
0.000 7.067 0.000
0.000 0.000 5.897
K As Br Cl
1 2 1 1
Direct
0.000 0.000 0.000
0.000 0.500 0.000
0.500 0.000 0.000
0.000 0.000 0.500
0.500 0.500 0.500
```

***

Arrangement B

First-principles (PBE-GGA) data for a relaxed KAs2BrCl crystal, as listed in Alexandria.

* SG: P4/mmm, No. 123
* V: 178.0 Å³/f.u.

The structure in POSCAR format:
```
KAs2BrCl
1.0
4.880 0.000 0.000
0.000 4.880 0.000
0.000 0.000 7.474
K As Br Cl
1 2 1 1
Direct
0.000 0.000 0.000
0.000 0.500 0.500
0.500 0.000 0.500
0.500 0.500 0.000
0.500 0.500 0.500
```

***

Energy ordering: arrangement B at the bottom, the next structure 708 meV/atom above.

***

Arrangement A

First-principles (PBE-GGA) data for a relaxed KAsBr2Cl crystal, as listed in Alexandria.

* SG: P4/mmm, No. 123
* V: 193.4 Å³/f.u.

The structure in POSCAR format:
```
KAsBr2Cl
1.0
6.504 0.000 0.000
0.000 6.504 0.000
0.000 0.000 4.572
K As Br Cl
1 1 2 1
Direct
0.000 0.000 0.000
0.500 0.500 0.000
0.000 0.500 0.500
0.500 0.000 0.500
0.500 0.500 0.500
```

***

Arrangement B

First-principles (PBE-GGA) data for a relaxed KAsBr2Cl crystal, as listed in Alexandria.

* SG: P4/mmm, No. 123
* V: 329.8 Å³/f.u.

The structure in POSCAR format:
```
KAsBr2Cl
1.0
5.958 0.000 0.000
0.000 5.958 0.000
0.000 0.000 9.290
K As Br Cl
1 1 2 1
Direct
0.000 0.000 0.000
0.000 0.000 0.500
0.000 0.500 0.000
0.500 0.000 0.000
0.500 0.500 0.500
```

***

Energy ordering: arrangement A at the bottom, the next structure 537 meV/atom above.

***

Arrangement A

First-principles (PBE-GGA) data for a relaxed LaAsBr2Cl crystal, as listed in Alexandria.

* SG: P4/mmm, No. 123
* V: 207.6 Å³/f.u.

The structure in POSCAR format:
```
LaAsBr2Cl
1.0
5.697 0.000 0.000
0.000 5.697 0.000
0.000 0.000 6.398
La As Br Cl
1 1 2 1
Direct
0.000 0.000 0.000
0.000 0.000 0.500
0.000 0.500 0.000
0.500 0.000 0.000
0.500 0.500 0.500
```

***

Arrangement B

First-principles (PBE-GGA) data for a relaxed LaAsBr2Cl crystal, as listed in Alexandria.

* SG: P4/mmm, No. 123
* V: 144.9 Å³/f.u.

The structure in POSCAR format:
```
LaAsBr2Cl
1.0
5.435 0.000 0.000
0.000 5.435 0.000
0.000 0.000 4.907
La As Br Cl
1 1 2 1
Direct
0.000 0.000 0.000
0.500 0.500 0.000
0.000 0.500 0.500
0.500 0.000 0.500
0.500 0.500 0.500
```

***

Energy ordering: arrangement A at the bottom, the next structure 457 meV/atom above.

***

Arrangement A

First-principles (PBE-GGA) data for a relaxed LaAs2BrCl crystal, as listed in Alexandria.

* SG: P4/mmm, No. 123
* V: 205.4 Å³/f.u.

The structure in POSCAR format:
```
LaAs2BrCl
1.0
6.000 0.000 0.000
0.000 6.000 0.000
0.000 0.000 5.707
La As Br Cl
1 2 1 1
Direct
0.000 0.000 0.000
0.000 0.500 0.000
0.500 0.000 0.000
0.000 0.000 0.500
0.500 0.500 0.500
```

***

Arrangement B

First-principles (PBE-GGA) data for a relaxed LaAs2BrCl crystal, as listed in Alexandria.

* SG: P4/mmm, No. 123
* V: 135.2 Å³/f.u.

The structure in POSCAR format:
```
LaAs2BrCl
1.0
4.777 0.000 0.000
0.000 4.777 0.000
0.000 0.000 5.924
La As Br Cl
1 2 1 1
Direct
0.000 0.000 0.000
0.000 0.500 0.500
0.500 0.000 0.500
0.500 0.500 0.000
0.500 0.500 0.500
```

***

Energy ordering: arrangement B at the bottom, the next structure 242 meV/atom above.

***

Arrangement A

First-principles (PBE-GGA) data for a relaxed LiAs2BrCl crystal, as listed in Alexandria.

* SG: P4/mmm, No. 123
* V: 165.9 Å³/f.u.

The structure in POSCAR format:
```
LiAs2BrCl
1.0
4.735 0.000 0.000
0.000 4.735 0.000
0.000 0.000 7.400
Li As Br Cl
1 2 1 1
Direct
0.000 0.000 0.000
0.000 0.500 0.500
0.500 0.000 0.500
0.500 0.500 0.000
0.500 0.500 0.500
```

***

Arrangement B

First-principles (PBE-GGA) data for a relaxed LiAs2BrCl crystal, as listed in Alexandria.

* SG: P4/mmm, No. 123
* V: 109.3 Å³/f.u.

The structure in POSCAR format:
```
LiAs2BrCl
1.0
4.804 0.000 0.000
0.000 4.804 0.000
0.000 0.000 4.735
Li As Br Cl
1 2 1 1
Direct
0.000 0.000 0.000
0.000 0.500 0.000
0.500 0.000 0.000
0.000 0.000 0.500
0.500 0.500 0.500
```

***

Energy ordering: arrangement B at the bottom, the next structure 49 meV/atom above.

***

Arrangement A

First-principles (PBE-GGA) data for a relaxed LiAsBr2Cl crystal, as listed in Alexandria.

* SG: P4/mmm, No. 123
* V: 120.3 Å³/f.u.

The structure in POSCAR format:
```
LiAsBr2Cl
1.0
4.677 0.000 0.000
0.000 4.677 0.000
0.000 0.000 5.500
Li As Br Cl
1 1 2 1
Direct
0.000 0.000 0.000
0.000 0.000 0.500
0.000 0.500 0.000
0.500 0.000 0.000
0.500 0.500 0.500
```

***

Arrangement B

First-principles (PBE-GGA) data for a relaxed LiAsBr2Cl crystal, as listed in Alexandria.

* SG: P4/mmm, No. 123
* V: 184.6 Å³/f.u.

The structure in POSCAR format:
```
LiAsBr2Cl
1.0
6.373 0.000 0.000
0.000 6.373 0.000
0.000 0.000 4.546
Li As Br Cl
1 1 2 1
Direct
0.000 0.000 0.000
0.500 0.500 0.000
0.000 0.500 0.500
0.500 0.000 0.500
0.500 0.500 0.500
```

***

Energy ordering: arrangement A at the bottom, the next structure 71 meV/atom above.

***

Arrangement A

First-principles (PBE-GGA) data for a relaxed MgAs2BrCl crystal, as listed in Alexandria.

* SG: P4/mmm, No. 123
* V: 144.1 Å³/f.u.

The structure in POSCAR format:
```
MgAs2BrCl
1.0
4.729 0.000 0.000
0.000 4.729 0.000
0.000 0.000 6.445
Mg As Br Cl
1 2 1 1
Direct
0.000 0.000 0.000
0.000 0.500 0.500
0.500 0.000 0.500
0.500 0.500 0.000
0.500 0.500 0.500
```

***

Arrangement B

First-principles (PBE-GGA) data for a relaxed MgAs2BrCl crystal, as listed in Alexandria.

* SG: P4/mmm, No. 123
* V: 133.9 Å³/f.u.

The structure in POSCAR format:
```
MgAs2BrCl
1.0
5.160 0.000 0.000
0.000 5.160 0.000
0.000 0.000 5.027
Mg As Br Cl
1 2 1 1
Direct
0.000 0.000 0.000
0.000 0.500 0.000
0.500 0.000 0.000
0.000 0.000 0.500
0.500 0.500 0.500
```

***

Energy ordering: arrangement B at the bottom, the next structure 219 meV/atom above.

***

Arrangement A

First-principles (PBE-GGA) data for a relaxed MnAsBr2Cl crystal, as listed in Alexandria.

* SG: P4/mmm, No. 123
* V: 111.3 Å³/f.u.

The structure in POSCAR format:
```
MnAsBr2Cl
1.0
4.848 0.000 0.000
0.000 4.848 0.000
0.000 0.000 4.735
Mn As Br Cl
1 1 2 1
Direct
0.000 0.000 0.000
0.000 0.000 0.500
0.000 0.500 0.000
0.500 0.000 0.000
0.500 0.500 0.500
```

***

Arrangement B

First-principles (PBE-GGA) data for a relaxed MnAsBr2Cl crystal, as listed in Alexandria.

* SG: P4/mmm, No. 123
* V: 140.1 Å³/f.u.

The structure in POSCAR format:
```
MnAsBr2Cl
1.0
5.118 0.000 0.000
0.000 5.118 0.000
0.000 0.000 5.350
Mn As Br Cl
1 1 2 1
Direct
0.000 0.000 0.000
0.500 0.500 0.000
0.000 0.500 0.500
0.500 0.000 0.500
0.500 0.500 0.500
```

***

Energy ordering: arrangement A at the bottom, the next structure 755 meV/atom above.

***

Arrangement A

First-principles (PBE-GGA) data for a relaxed MoAs2BrCl crystal, as listed in Alexandria.

* SG: P4/mmm, No. 123
* V: 121.8 Å³/f.u.

The structure in POSCAR format:
```
MoAs2BrCl
1.0
4.891 0.000 0.000
0.000 4.891 0.000
0.000 0.000 5.089
Mo As Br Cl
1 2 1 1
Direct
0.000 0.000 0.000
0.000 0.500 0.000
0.500 0.000 0.000
0.000 0.000 0.500
0.500 0.500 0.500
```

***

Arrangement B

First-principles (PBE-GGA) data for a relaxed MoAs2BrCl crystal, as listed in Alexandria.

* SG: P4/mmm, No. 123
* V: 134.8 Å³/f.u.

The structure in POSCAR format:
```
MoAs2BrCl
1.0
4.728 0.000 0.000
0.000 4.728 0.000
0.000 0.000 6.029
Mo As Br Cl
1 2 1 1
Direct
0.000 0.000 0.000
0.000 0.500 0.500
0.500 0.000 0.500
0.500 0.500 0.000
0.500 0.500 0.500
```

***

Energy ordering: arrangement A at the bottom, the next structure 1119 meV/atom above.

***

Arrangement A

First-principles (PBE-GGA) data for a relaxed AsBr2NCl crystal, as listed in Alexandria.

* SG: P4/mmm, No. 123
* V: 153.6 Å³/f.u.

The structure in POSCAR format:
```
AsBr2NCl
1.0
5.439 0.000 0.000
0.000 5.439 0.000
0.000 0.000 5.192
As Br N Cl
1 2 1 1
Direct
0.000 0.000 0.000
0.000 0.500 0.500
0.500 0.000 0.500
0.500 0.500 0.000
0.000 0.000 0.500
```

***

Arrangement B

First-principles (PBE-GGA) data for a relaxed AsBr2NCl crystal, as listed in Alexandria.

* SG: P4/mmm, No. 123
* V: 99.3 Å³/f.u.

The structure in POSCAR format:
```
AsBr2NCl
1.0
4.618 0.000 0.000
0.000 4.618 0.000
0.000 0.000 4.656
As Br N Cl
1 2 1 1
Direct
0.000 0.000 0.000
0.000 0.500 0.500
0.500 0.000 0.500
0.000 0.000 0.500
0.500 0.500 0.000
```

***

Energy ordering: arrangement B at the bottom, the next structure 574 meV/atom above.

***

Arrangement A

First-principles (PBE-GGA) data for a relaxed NbAsBr2Cl crystal, as listed in Alexandria.

* SG: P4/mmm, No. 123
* V: 132.0 Å³/f.u.

The structure in POSCAR format:
```
NbAsBr2Cl
1.0
5.001 0.000 0.000
0.000 5.001 0.000
0.000 0.000 5.280
Nb As Br Cl
1 1 2 1
Direct
0.000 0.000 0.000
0.500 0.500 0.000
0.000 0.500 0.500
0.500 0.000 0.500
0.500 0.500 0.500
```

***

Arrangement B

First-principles (PBE-GGA) data for a relaxed NbAsBr2Cl crystal, as listed in Alexandria.

* SG: P4/mmm, No. 123
* V: 133.2 Å³/f.u.

The structure in POSCAR format:
```
NbAsBr2Cl
1.0
5.066 0.000 0.000
0.000 5.066 0.000
0.000 0.000 5.189
Nb As Br Cl
1 1 2 1
Direct
0.000 0.000 0.000
0.000 0.000 0.500
0.000 0.500 0.000
0.500 0.000 0.000
0.500 0.500 0.500
```

***

Energy ordering: arrangement B at the bottom, the next structure 1273 meV/atom above.